Entry P
Entry from the Alexandria database: a relaxed structure of Nd7Sm3Dy (PBE-GGA).

**Calculated volume**: 36.27 Å³ per atom

```
Nd7Sm3Dy
1.0
-5.3968 -6.8674 0.8357
5.1270 -3.5840 3.6581
-4.7475 4.1635 3.5553
Nd Sm Dy
7 3 1
direct
0.1132 0.1671 0.8329
0.1132 0.1671 0.3342
0.1235 0.6667 0.3333
0.4541 0.8331 0.1669
0.4541 0.3337 0.1669
0.4541 0.8331 0.6663
0.1132 0.6658 0.8329
0.7820 0.4995 0.5005
0.7820 0.4995 0.9990
0.7820 0.0010 0.5005
0.4438 0.3333 0.6667
```

---

Entry Q
Entry from the Alexandria database: a relaxed structure of Nd7Sm3Dy (PBE-GGA).

**Calculated volume**: 36.48 Å³ per atom

```
Nd7Sm3Dy
1.0
-4.3026 9.1771 2.0845
-2.3676 -10.0497 0.6855
4.9506 -5.7815 10.0994
Nd Sm Dy
14 6 2
direct
0.1630 0.8426 0.2755
0.1574 0.8370 0.7755
0.0828 0.4188 0.4702
0.0858 0.4202 0.9708
0.5812 0.9172 0.9702
0.5798 0.9142 0.4708
0.2755 0.2755 0.7500
0.7245 0.7245 0.2500
0.4188 0.0828 0.0298
0.4202 0.0858 0.5292
0.9142 0.5798 0.0292
0.9172 0.5812 0.5298
0.8426 0.1630 0.2245
0.8370 0.1574 0.7245
0.3333 0.6684 0.7249
0.0000 0.0000 0.0000
0.0000 0.0000 0.5000
0.3316 0.6667 0.2249
0.6684 0.3333 0.7751
0.6667 0.3316 0.2751
0.5000 0.5000 0.0000
0.5000 0.5000 0.5000
```

---

Verdict on stability: entry Q comes out at the bottom.

---

Entry P
Entry from the Alexandria database: a relaxed structure of Nd6Sm12Dy (PBE-GGA).

**Calculated volume**: 35.22 Å³ per atom

```
Nd6Sm12Dy
1.0
9.4308 -1.8542 -2.6786
-2.9864 9.1357 -2.6786
-1.6411 -1.8542 9.6655
Nd Sm Dy
6 12 1
direct
0.7313 0.4746 0.7313
0.7313 0.7313 0.4746
0.4746 0.7313 0.7313
0.2687 0.2687 0.5254
0.2687 0.5254 0.2687
0.5254 0.2687 0.2687
0.8795 0.1205 0.5000
0.2647 0.9056 0.2647
0.2647 0.2647 0.9056
0.0944 0.7353 0.7353
0.7353 0.7353 0.0944
0.7353 0.0944 0.7353
0.5000 0.8795 0.1205
0.1205 0.5000 0.8795
0.1205 0.8795 0.5000
0.5000 0.1205 0.8795
0.8795 0.5000 0.1205
0.9056 0.2647 0.2647
0.0000 0.0000 0.0000
```

---

Entry Q
Entry from the Alexandria database: a relaxed structure of Nd6Sm12Dy (PBE-GGA).

**Calculated volume**: 34.69 Å³ per atom

```
Nd6Sm12Dy
1.0
-5.7105 -6.1669 2.2599
5.2744 -6.1880 -3.1043
3.8002 -0.8323 7.7855
Nd Sm Dy
6 12 1
direct
0.7378 0.9063 0.3034
0.6966 0.2622 0.0937
0.0937 0.6966 0.2622
0.2622 0.0937 0.6966
0.3034 0.7378 0.9063
0.9063 0.3034 0.7378
0.7779 0.5364 0.4364
0.4364 0.7779 0.5364
0.5364 0.4364 0.7779
0.2221 0.4636 0.5636
0.5636 0.2221 0.4636
0.4636 0.5636 0.2221
0.0170 0.1954 0.3585
0.8046 0.6415 0.9830
0.6415 0.9830 0.8046
0.9830 0.8046 0.6415
0.1954 0.3585 0.0170
0.3585 0.0170 0.1954
0.0000 0.0000 0.0000
```

---

Verdict on stability: entry P comes out at the bottom.

---

Entry P
Entry from the Alexandria database: a relaxed structure of Nd5Sm3Dy3 (PBE-GGA).

**Calculated volume**: 35.30 Å³ per atom

```
Nd5Sm3Dy3
1.0
3.4669 0.0000 0.0000
0.0000 9.8483 -5.6859
0.0000 0.0000 11.3718
Nd Sm Dy
5 3 3
direct
0.5000 0.6667 0.3333
0.5000 0.3333 0.6667
0.5000 0.3383 0.0000
0.5000 0.6617 0.6617
0.5000 0.0000 0.3383
0.0000 0.5969 0.0000
0.0000 0.0000 0.5969
0.0000 0.4031 0.4031
0.5000 0.8409 0.0000
0.5000 0.1591 0.1591
0.5000 0.0000 0.8409
```

---

Entry Q
Entry from the Alexandria database: a relaxed structure of Nd5Sm3Dy3 (PBE-GGA).

**Calculated volume**: 41.72 Å³ per atom

```
Nd5Sm3Dy3
1.0
5.5064 0.0000 0.0000
0.0000 9.8101 0.0000
0.0000 -4.9051 8.4958
Nd Sm Dy
5 3 3
direct
0.5000 0.3333 0.6667
0.5000 0.6667 0.3333
0.5000 0.2664 0.2664
0.5000 0.0000 0.7336
0.5000 0.7336 0.0000
0.0000 0.4289 0.4289
0.0000 0.5711 0.0000
0.0000 0.0000 0.5711
0.5000 0.6332 0.6332
0.5000 0.0000 0.3668
0.5000 0.3668 0.0000
```

---

Verdict on stability: entry Q comes out at the bottom.

---

Entry P
Entry from the Alexandria database: a relaxed structure of Nd4SmDy6 (PBE-GGA).

**Calculated volume**: 34.62 Å³ per atom

```
Nd4SmDy6
1.0
7.4992 -2.8977 -5.4794
-5.1740 8.0265 1.8609
-1.8679 2.8977 9.0979
Nd Sm Dy
4 1 6
direct
0.0000 0.6340 0.0144
0.3804 0.3660 0.3660
0.0000 0.0144 0.6340
0.6196 0.9856 0.9856
0.0000 0.0000 0.0000
0.0000 0.8015 0.4468
0.0000 0.4468 0.8015
0.3548 0.5532 0.5532
0.5000 0.5000 0.0000
0.6452 0.1985 0.1985
0.5000 0.0000 0.5000
```

---

Entry Q
Entry from the Alexandria database: a relaxed structure of Nd4SmDy6 (PBE-GGA).

**Calculated volume**: 35.69 Å³ per atom

```
Nd4SmDy6
1.0
-1.8766 -4.7008 -5.8575
0.4681 -6.0990 4.7447
-5.6389 6.0735 2.0480
Nd Sm Dy
4 1 6
direct
0.0984 0.7496 0.8480
0.9016 0.9016 0.1520
0.7496 0.0984 0.8480
0.2504 0.2504 0.1520
0.5000 0.5000 0.0000
0.9298 0.4398 0.3696
0.4398 0.9298 0.3696
0.5602 0.5602 0.6304
0.0000 0.5000 0.0000
0.0702 0.0702 0.6304
0.5000 0.0000 0.0000
```

---

Verdict on stability: entry Q comes out at the bottom.

---

Entry P
Entry from the Alexandria database: a relaxed structure of Nd6Sm4Dy (PBE-GGA).

**Calculated volume**: 35.55 Å³ per atom

```
Nd6Sm4Dy
1.0
6.7677 0.0000 0.0000
0.0000 6.7677 0.0000
-3.3838 -3.3838 8.5374
Nd Sm Dy
6 4 1
direct
0.8664 0.4869 0.3533
0.4869 0.8664 0.3533
0.5131 0.5131 0.6467
0.0000 0.5000 0.0000
0.1336 0.1336 0.6467
0.5000 0.0000 0.0000
0.0532 0.6999 0.7531
0.9468 0.9468 0.2469
0.6999 0.0532 0.7531
0.3001 0.3001 0.2469
0.5000 0.5000 0.0000
```

---

Entry Q
Entry from the Alexandria database: a relaxed structure of Nd6Sm4Dy (PBE-GGA).

**Calculated volume**: 38.67 Å³ per atom

```
Nd6Sm4Dy
1.0
7.7273 1.1812 -2.6929
-4.2223 6.5501 -2.7617
0.7614 -1.1812 8.1476
Nd Sm Dy
6 4 1
direct
0.0000 0.0775 0.4743
0.0000 0.4743 0.0775
0.6032 0.5257 0.5257
0.5000 0.5000 0.0000
0.3968 0.9225 0.9225
0.5000 0.0000 0.5000
0.0000 0.7568 0.5314
0.7746 0.2432 0.2432
0.0000 0.5314 0.7568
0.2254 0.4686 0.4686
0.0000 0.0000 0.0000
```

---

Verdict on stability: entry Q comes out at the bottom.

---

Entry P
Entry from the Alexandria database: a relaxed structure of Nd6Sm2Dy3 (PBE-GGA).

**Calculated volume**: 33.93 Å³ per atom

```
Nd6Sm2Dy3
1.0
5.8261 -1.0278 2.1573
-0.7450 7.6563 2.6442
4.2964 6.3491 12.8617
Nd Sm Dy
6 2 3
direct
0.0915 0.6369 0.7276
0.7290 0.0917 0.8176
0.9085 0.3631 0.2724
0.2710 0.9083 0.1824
0.8173 0.7238 0.5459
0.1827 0.2762 0.4541
0.6391 0.4571 0.0898
0.3609 0.5429 0.9102
0.0000 0.0000 0.0000
0.5470 0.8188 0.3625
0.4530 0.1812 0.6375
```

---

Entry Q
Entry from the Alexandria database: a relaxed structure of Nd6Sm2Dy3 (PBE-GGA).

**Calculated volume**: 35.65 Å³ per atom

```
Nd6Sm2Dy3
1.0
-3.7628 -2.8955 0.6494
1.0408 -2.2699 -4.0901
11.2631 -8.3585 10.3123
Nd Sm Dy
6 2 3
direct
0.1210 0.6210 0.2420
0.6210 0.1210 0.2420
0.8790 0.3790 0.7580
0.3790 0.8790 0.7580
0.7039 0.7039 0.4078
0.2961 0.2961 0.5922
0.4550 0.4550 0.9100
0.5450 0.5450 0.0900
0.0000 0.0000 0.0000
0.8043 0.8043 0.6087
0.1957 0.1957 0.3913
```

---

Verdict on stability: entry Q comes out at the bottom.